DFT (PBE) results for an optimized crystal structure of LiTb2ThSe4.

```
LiTb2ThSe4
1.0
-3.3192 1.6886 1.6622
-0.2380 -5.2510 4.8593
3.9594 5.2850 2.5373
Se Tb Th Li
4 2 1 1
Direct
0.5000 0.7353 0.7498 Se
0.0000 0.2589 0.7533 Se
0.5000 0.2647 0.2502 Se
0.0000 0.7411 0.2467 Se
0.0000 0.5000 0.5000 Tb
0.5000 0.0000 0.5000 Tb
0.0000 0.0000 0.0000 Th
0.5000 0.5000 0.0000 Li
```

Energy relative to the elements, uncorrected = -1.661 eV per atom
Magnetic moment = 0.00 μB/atom
Space-group type = No. 10
Calculated volume = 195.4 Å³/cell
Calculated total energy = -5.7271 eV per atom
Calculated density = 7.41 g/cm³